No. 1
A plane-wave DFT calculation with GGA-PBE was carried out for an optimized crystal structure of Nd2NbSi.

abc: 10.972 10.972 10.972
angles: 17.13 17.13 17.13
Sites, in units of the cell vectors:
Nd 0.093 0.093 0.093
Nd 0.907 0.907 0.907
Nb 0.000 0.000 0.000
Si 0.500 0.500 0.500

Properties
For the density, the calculation gives 6.8 g/cm3. Its space group is R-3m, No. 166. The calculation puts the uncorrected formation energy at 498 meV/atom. Its density of states at the Fermi level is 5.0 states/eV/cell.

---

No. 2
A plane-wave DFT calculation with GGA-PBE was carried out for an optimized crystal structure of NdNbSi2.

abc: 6.873 6.873 6.873
angles: 32.85 32.85 32.85
Sites, in units of the cell vectors:
Nd 0.000 0.000 0.000
Nb 0.500 0.500 0.500
Si 0.236 0.236 0.236
Si 0.764 0.764 0.764

Properties
For the density, the calculation gives 5.7 g/cm3. Its space group is R-3m, No. 166. The calculation puts the uncorrected formation energy at -427 meV/atom. Its density of states at the Fermi level is 1.0 states/eV/cell.